A plane-wave DFT calculation with PBE was carried out for crystalline CsRb3Tl2Br6 at its relaxed geometry.

Unit cell a=11.047 b=11.047 c=9.888 alpha=103.01 beta=103.01 gamma=25.86
Positions (direct):
Cs (0.000, 0.000, 0.000)
Rb (0.000, 0.000, 0.500)
Rb (0.334, 0.334, 0.170)
Rb (0.666, 0.666, 0.830)
Tl (0.331, 0.331, 0.664)
Tl (0.669, 0.669, 0.336)
Br (0.170, 0.170, 0.577)
Br (0.171, 0.171, 0.090)
Br (0.498, 0.498, 0.738)
Br (0.502, 0.502, 0.262)
Br (0.829, 0.829, 0.910)
Br (0.830, 0.830, 0.423)

M_tot (μB/cell): 0.0
Electronic total energy (eV/f.u.): -36.0
Symmetry: C2/m, No. 12